DFT (PBE) results for Sr2CaCu after structural relaxation.

Properties
ΔH_f (0 K), eV per atom: 0.259
Space group: Fm-3m, No. 225
Offset from the most stable computed form, meV/atom: 283

a = 8.401 Å, b = 8.401 Å, c = 8.401 Å
α = 90.00°, β = 90.00°, γ = 90.00°
Atoms (fractional coordinates):
Sr 0.250 0.250 0.250
Sr 0.250 0.250 0.750
Sr 0.250 0.750 0.250
Sr 0.250 0.750 0.750
Sr 0.750 0.250 0.250
Sr 0.750 0.250 0.750
Sr 0.750 0.750 0.250
Sr 0.750 0.750 0.750
Ca 0.000 0.000 0.000
Ca 0.000 0.500 0.500
Ca 0.500 0.000 0.500
Ca 0.500 0.500 0.000
Cu 0.000 0.000 0.500
Cu 0.000 0.500 0.000
Cu 0.500 0.000 0.000
Cu 0.500 0.500 0.500

---

DFT (PBE) results for Tm4CuTe2 after structural relaxation.

Properties
E_form (uncorrected), meV per atom: -714
Space group: Pbam, No. 55

a = 7.744 Å, b = 12.001 Å, c = 4.213 Å
α = 90.00°, β = 90.00°, γ = 90.00°
Atoms (fractional coordinates):
Tm 0.138 0.204 0.000
Tm 0.201 0.940 0.500
Tm 0.299 0.440 0.500
Tm 0.362 0.704 0.000
Tm 0.638 0.296 0.000
Tm 0.701 0.560 0.500
Tm 0.799 0.060 0.500
Tm 0.862 0.796 0.000
Cu 0.000 0.000 0.000
Cu 0.500 0.500 0.000
Te 0.073 0.666 0.500
Te 0.427 0.166 0.500
Te 0.573 0.834 0.500
Te 0.927 0.334 0.500

---

So what do the calculations give for Fermi-level density of states? Going down the list: 32.8, 12.6 states/eV/cell.